[1]
This record from Alexandria via LeMat-Bulk describes a relaxed CaMoW2 crystal. The functional is PBE.

Cell: 4.6436 4.6436 4.6436 Å, 60.00 60.00 60.00°
Closest atoms and distances in Å follow each position.
Atoms (fractional coordinates):
Mo1 0.2500 0.2500 0.2500  4 W 2.84, 4 Ca 2.84
Ca1 0.5000 0.5000 0.5000  4 Mo 2.84, 4 W 2.84
W1 0.0000 0.0000 0.0000  4 W 2.84, 4 Mo 2.84
W2 0.7500 0.7500 0.7500  4 W 2.84, 4 Ca 2.84

Properties
The calculation puts the density of states at the Fermi level at 5.6 states/eV/f.u. The value obtained for the energy relative to the lowest polymorph listed for this composition is 281 meV per atom. The space group is F-43m. As for the calculated density: 11.81 g/cm3.

[2]
This record from Alexandria via LeMat-Bulk describes a relaxed RbSnSe3 crystal. The functional is PBE.

Cell: 7.1398 7.1398 8.7798 Å, 66.01 66.01 60.00°
Closest atoms and distances in Å follow each position.
Atoms (fractional coordinates):
Rb1 0.1188 0.1188 0.6436  9 Se 3.70-3.78
Se1 0.0709 0.5806 0.7689  2 Sn 2.72-2.74
Sn1 0.3347 0.3347 0.9959  6 Se 2.72-2.74
Rb2 0.8812 0.8812 0.3564  9 Se 3.70-3.78
Se2 0.4204 0.4194 0.2311  2 Sn 2.72-2.74
Se3 0.5806 0.5796 0.7689  2 Sn 2.72-2.74
Se4 0.4194 0.9291 0.2311  2 Sn 2.72-2.74
Se5 0.9291 0.4204 0.2311  2 Sn 2.72-2.74
Sn2 0.6653 0.6653 0.0041  6 Se 2.72-2.74
Se6 0.5796 0.0709 0.7689  2 Sn 2.72-2.74

Properties
The calculation puts the density of states at the Fermi level at 4.3 states/eV/f.u. The uncorrected formation energy comes out at -2.13 eV/f.u. The space group is R-3m. As for the calculated density: 4.28 g/cm3.

no.,DFT total energy (eV/atom)
1,-8.88
2,-3.51